A relaxed Nd2TcPd crystal. Source: Alexandria, functional PBE.

Results
The calculation puts the final energy at -6.51 eV/atom. The calculation puts the calculated volume at 91.43 Å³ per cell.

Lattice parameters (Å, degrees): 3.599 3.599 7.058 90.00 90.00 90.00
Positions (direct):
Nd 0.000 0.000 0.758
Nd 0.000 0.000 0.242
Tc 0.500 0.500 0.000
Pd 0.500 0.500 0.500

A relaxed BeCoIr3 crystal. Source: Alexandria, functional PBE.

Results
The calculation puts the final energy at -6.95 eV/atom. The calculation puts the calculated volume at 68.65 Å³ per cell.

Lattice parameters (Å, degrees): 4.095 4.095 4.095 90.00 90.00 90.00
Site moments in Bohr magnetons follow the coordinates.
Positions (direct):
Be 0.000 0.000 0.000  -0.01
Ir 0.000 0.500 0.000  0.31
Ir 0.000 0.000 0.500  0.28
Ir 0.500 0.000 0.000  0.41
Co 0.500 0.500 0.500  2.17

A relaxed La3TlRu crystal. Source: Alexandria, functional PBE.

Results
The calculation puts the final energy at -5.61 eV/atom. The calculation puts the calculated volume at 619.87 Å³ per cell.

Lattice parameters (Å, degrees): 25.268 6.741 9.939 90.00 158.52 90.00
Positions (direct):
Ru 0.106 0.250 0.606
Ru 0.894 0.750 0.394
Ru 0.394 0.750 0.894
Ru 0.606 0.250 0.106
Tl 0.424 0.750 0.424
Tl 0.576 0.250 0.576
Tl 0.076 0.250 0.076
Tl 0.924 0.750 0.924
La 0.250 0.000 0.749
La 0.750 0.000 0.251
La 0.250 0.500 0.751
La 0.750 0.500 0.249
La 0.360 0.250 0.361
La 0.640 0.750 0.639
La 0.140 0.750 0.139
La 0.860 0.250 0.861
La 0.556 0.750 0.056
La 0.444 0.250 0.944
La 0.944 0.250 0.444
La 0.056 0.750 0.556

A relaxed Ta2PbAu crystal. Source: Alexandria, functional PBE.

Results
The calculation puts the final energy at -7.32 eV/atom. The calculation puts the calculated volume at 78.54 Å³ per cell.

Lattice parameters (Å, degrees): 5.493 5.493 5.493 142.14 128.47 65.69
Positions (direct):
Au 0.494 0.494 0.000
Pb 0.745 0.245 0.500
Ta 0.013 0.013 0.000
Ta 0.247 0.747 0.500

- Which of these has the highest final energy?
  La3TlRu